This record from Alexandria via LeMat-Bulk describes an optimized crystal structure of BaCr2RuF. The functional is GGA+U.

abc: 4.497 4.497 5.249
angles: 90.00 90.00 90.00
Positions (direct):
Ba 0.000 0.000 0.000
Cr 0.000 0.500 0.500
Cr 0.500 0.000 0.500
Ru 0.500 0.500 0.000
F 0.000 0.000 0.500

Summary:
Total magnetic moment = 10.276 μB/f.u.
DFT total energy = -27.5 eV for the cell shown